Entry 1:
LiCa2AlPd | PBE | optimized geometry

a b c (Å): 5.5935 5.5935 4.7933
angles (deg): 90.00 90.00 90.00
Closest atoms and distances in Å follow each position.
Space group P4/mmm (No. 123)
Symmetry-distinct sites (fractional):
Li: 0.0000 0.0000 0.0000 x1  8 Ca 3.68, 4 Al 3.96
Ca: 0.0000 0.5000 0.5000 x2  2 Pd 2.80
Al: 0.5000 0.5000 0.0000 x1  2 Pd 2.40
Pd: 0.5000 0.5000 0.5000 x1  2 Al 2.40

For the volume, the calculation gives 150 Å³/cell. As for the formation energy: -0.258 eV/atom. The total DFT energy (no corrections) is -0.1186 Ha/atom.


Entry 2:
BaIrOs2 | PBE | optimized geometry

a b c (Å): 2.8612 3.6855 7.6703
angles (deg): 90.00 90.00 90.00
Closest atoms and distances in Å follow each position.
Space group Pmm2 (No. 25)
Symmetry-distinct sites (fractional):
Ba: 0.0000 0.0000 0.0000 x1  2 Ba 2.86
Ir: 0.5000 0.5000 0.3190 x1  5 Os 2.63-2.73, 2 Ir 2.86
Os: 0.0000 0.0000 0.5042 x1  6 Os 2.63-2.86, 4 Ir 2.73
Os: 0.5000 0.5000 0.6622 x1  6 Os 2.63-2.86, 1 Ir 2.63

The calculation puts the distance to the lowest polymorph of the same formula at 0.344 eV per atom. For the volume, the calculation gives 81 Å³/cell. As for the formation energy: 0.624 eV/atom. The total DFT energy (no corrections) is -0.2825 Ha/atom.


Entry 3:
ZrNi2Se | PBE | optimized geometry

a b c (Å): 9.4695 3.3171 4.2493
angles (deg): 90.00 114.35 90.00
Closest atoms and distances in Å follow each position.
Space group C2/m (No. 12)
Symmetry-distinct sites (fractional):
Zr: 0.0000 0.0000 0.0000 x2  4 Se 2.70, 8 Ni 2.84-2.99
Ni: 0.2330 0.0000 0.7343 x4  2 Se 2.61, 4 Ni 2.71, 3 Zr 2.84-2.86
Se: 0.0000 0.5000 0.5000 x2  4 Ni 2.61, 4 Zr 2.70

The value obtained for the formation energy from raw total energies is -0.318 eV per atom. For the volume, the calculation gives 122 Å³/cell. The total DFT energy (no corrections) is -0.2285 Ha/atom.


Entry 4:
TmGe2Pt4 | PBE | optimized geometry

a b c (Å): 16.3768 4.1293 7.2730
angles (deg): 90.00 90.00 90.00
Closest atoms and distances in Å follow each position.
Space group Pnma (No. 62)
Symmetry-distinct sites (fractional):
Tm: 0.1491 0.2500 0.0741 x4  10 Pt 2.89-3.20, 2 Ge 3.19
Ge: 0.0219 0.7500 0.2481 x4  7 Pt 2.52-2.69
Ge: 0.1873 0.2500 0.6271 x4  6 Pt 2.57-2.70
Pt: 0.0454 0.7500 0.9057 x4  3 Ge 2.52-2.59
Pt: 0.0545 0.2500 0.4395 x4  4 Ge 2.55-2.59, 2 Pt 2.84
Pt: 0.1723 0.7500 0.3964 x4  3 Ge 2.67-2.69, 4 Pt 2.82-2.84
Pt: 0.2150 0.7500 0.8274 x4  3 Ge 2.57-2.70, 3 Pt 2.82-2.83

For the volume, the calculation gives 492 Å³/cell. As for the formation energy: -0.741 eV/atom. The total DFT energy (no corrections) is -0.2260 Ha/atom.


Entry 5:
AcLaSmAg | PBE | optimized geometry

a b c (Å): 3.8200 3.8200 9.0250
angles (deg): 90.00 90.00 90.00
Closest atoms and distances in Å follow each position.
Space group P4mm (No. 99)
Symmetry-distinct sites (fractional):
Ac: 0.0000 0.0000 0.0000 x1  4 Sm 3.76, 4 Ac 3.82, 4 La 3.84
La: 0.5000 0.5000 0.6978 x1  4 Ag 3.34, 1 Sm 3.68
Sm: 0.5000 0.5000 0.2904 x1  4 Ag 3.20
Ag: 0.0000 0.0000 0.4809 x1  4 Sm 3.20, 4 La 3.34

The calculation puts the distance to the lowest polymorph of the same formula at 0.000 eV per atom. For the volume, the calculation gives 132 Å³/cell. As for the formation energy: -0.109 eV/atom. The total DFT energy (no corrections) is -0.1566 Ha/atom.


Entry 6:
Te2HBr | PBE | optimized geometry

a b c (Å): 3.5125 3.5125 25.5041
angles (deg): 90.00 90.00 120.00
Closest atoms and distances in Å follow each position.
Space group R-3m (No. 166, hexagonal axes)
Symmetry-distinct sites (fractional):
Te: 0.0000 0.0000 0.1093 x6  3 H 2.50, 1 Br 2.79
H: 0.0000 0.0000 0.5000 x3  6 Te 2.50
Br: 0.0000 0.0000 0.0000 x3  2 Te 2.79

The calculation puts the distance to the lowest polymorph of the same formula at 0.432 eV per atom. For the volume, the calculation gives 273 Å³/cell. The total DFT energy (no corrections) is -0.0857 Ha/atom.


Entry 7:
SrCa2TbTe4 | PBE | optimized geometry

a b c (Å): 7.8293 4.5078 7.8705
angles (deg): 90.00 109.26 90.00
Closest atoms and distances in Å follow each position.
Space group P2/m (No. 10)
Symmetry-distinct sites (fractional):
Sr: 0.0000 0.0000 0.0000 x1  6 Te 3.26
Ca: 0.5000 0.0000 0.5000 x1  6 Te 3.14-3.15
Ca: 0.5000 0.5000 0.0000 x1  6 Te 3.23-3.24
Tb: 0.0000 0.5000 0.5000 x1  6 Te 3.16-3.17
Te: 0.2493 0.0000 0.7406 x2  3 Ca 3.15-3.23, 2 Tb 3.17, 1 Sr 3.26
Te: 0.2558 0.5000 0.2621 x2  3 Ca 3.14-3.24, 1 Tb 3.16, 2 Sr 3.26

The value obtained for the formation energy from raw total energies is -1.561 eV per atom. For the volume, the calculation gives 262 Å³/cell. The total DFT energy (no corrections) is -0.1625 Ha/atom.


Entry 8:
CaRuSe2 | PBE | optimized geometry

a b c (Å): 11.4536 3.7455 4.1797
angles (deg): 90.00 92.36 90.00
Closest atoms and distances in Å follow each position.
Space group Cm (No. 8)
Symmetry-distinct sites (fractional):
Ca: 0.0000 0.0000 0.0000 x2  5 Se 2.81-3.02
Ru: 0.2741 0.0000 0.4062 x2  3 Se 2.44
Se: 0.2375 0.5000 0.0419 x2  2 Ru 2.44
Se: 0.4857 0.0000 0.4975 x2  1 Ru 2.44

The calculation puts the distance to the lowest polymorph of the same formula at 0.302 eV per atom. The value obtained for the formation energy from raw total energies is -0.574 eV per atom. For the volume, the calculation gives 179 Å³/cell. The total DFT energy (no corrections) is -0.1887 Ha/atom.


Entry 9:
Y2TmNpN4 | PBE | optimized geometry

a b c (Å): 5.9487 3.4484 5.9577
angles (deg): 90.00 108.98 90.00
Closest atoms and distances in Å follow each position.
Space group P2/m (No. 10)
Symmetry-distinct sites (fractional):
Y: 0.0000 0.0000 0.0000 x1  6 N 2.48-2.52
Y: 0.5000 0.5000 0.0000 x1  6 N 2.45-2.47
Tm: 0.0000 0.5000 0.5000 x1  6 N 2.40-2.42
Np: 0.5000 0.0000 0.5000 x1  6 N 2.33-2.40
N: 0.2557 0.0000 0.7357 x2  1 Np 2.33, 2 Tm 2.42, 3 Y 2.47-2.52
N: 0.2558 0.5000 0.2605 x2  1 Tm 2.40, 2 Np 2.40, 3 Y 2.45-2.48

The value obtained for the formation energy from raw total energies is -1.575 eV per atom. For the volume, the calculation gives 116 Å³/cell. The total DFT energy (no corrections) is -0.3502 Ha/atom.


Entry 10:
IrBr3Cl | PBE | optimized geometry

a b c (Å): 7.7859 14.9312 6.3943
angles (deg): 90.00 124.57 90.00
Closest atoms and distances in Å follow each position.
Space group Cc (No. 9)
Symmetry-distinct sites (fractional):
Ir: 0.0000 0.0648 0.0000 x4  1 Cl 2.29, 5 Br 2.43-2.54
Br: 0.2124 0.0586 0.4763 x4  2 Ir 2.51-2.54
Br: 0.2309 0.1772 0.0109 x4  1 Ir 2.43
Br: 0.2849 0.4421 0.0236 x4  2 Ir 2.51-2.54
Cl: 0.2789 0.3299 0.4855 x4  1 Ir 2.29

The calculation puts the distance to the lowest polymorph of the same formula at 0.000 eV per atom. The value obtained for the formation energy from raw total energies is -0.222 eV per atom. For the volume, the calculation gives 612 Å³/cell. The total DFT energy (no corrections) is -0.1237 Ha/atom.